Density functional theory data (PBE with a Hubbard U) for a relaxed structure of CoSb2O4.

Lattice parameters (Å, degrees): 8.398 8.398 5.985 90.00 90.00 90.00
Positions (direct):
Co 0.000 0.500 0.250
Co 0.000 0.500 0.750
Co 0.500 0.000 0.250
Co 0.500 0.000 0.750
Sb 0.163 0.171 0.000
Sb 0.171 0.837 0.500
Sb 0.329 0.337 0.500
Sb 0.337 0.671 0.000
Sb 0.663 0.329 0.000
Sb 0.671 0.663 0.500
Sb 0.829 0.163 0.500
Sb 0.837 0.829 0.000
O 0.095 0.354 0.500
O 0.146 0.405 0.000
O 0.176 0.676 0.250
O 0.176 0.676 0.750
O 0.324 0.176 0.250
O 0.324 0.176 0.750
O 0.354 0.905 0.000
O 0.405 0.854 0.500
O 0.595 0.146 0.500
O 0.646 0.095 0.000
O 0.676 0.824 0.250
O 0.676 0.824 0.750
O 0.824 0.324 0.250
O 0.824 0.324 0.750
O 0.854 0.595 0.000
O 0.905 0.646 0.500

## Properties
DFT total energy	-0.4404	Ry/atom